# 1
HgPdSeN2: optimized geometry, PBE.

Summary:
* calculated volume: 20.1 A^3/atom
* Fermi-level density of states: 3.61 states/eV per cell
* polymorph energy (0 for the lowest one): 592 meV per atom
* symmetry: P4/mmm (123)

a = 4.1400 Å, b = 4.1400 Å, c = 5.8655 Å
α = 90.00°, β = 90.00°, γ = 90.00°
With the nearest neighbours (Å) after each atom.
Fractional positions:
Hg 0.0000 0.0000 0.0000  4 N 2.07
Pd 0.5000 0.5000 0.5000  4 Se 2.93
Se 0.0000 0.0000 0.5000  4 Pd 2.93, 2 Hg 2.93
N 0.0000 0.5000 0.0000  2 Hg 2.07
N 0.5000 0.0000 0.0000  2 Hg 2.07


# 2
HgPd2SeN: optimized geometry, PBE.

Summary:
* calculated volume: 21.0 A^3/atom
* electronic total energy: -3.135 eV per atom
* Fermi-level density of states: 4.12 states/eV per cell
* symmetry: P4/mmm (123)

a = 5.2118 Å, b = 5.2118 Å, c = 3.8713 Å
α = 90.00°, β = 90.00°, γ = 90.00°
With the nearest neighbours (Å) after each atom.
Fractional positions:
Hg 0.0000 0.0000 0.0000  2 N 1.94
Pd 0.0000 0.5000 0.0000  2 Hg 2.61
Pd 0.5000 0.0000 0.0000  2 Hg 2.61
Se 0.5000 0.5000 0.5000  8 Pd 3.25
N 0.0000 0.0000 0.5000  2 Hg 1.94